(1)
Material: MgMnNi2Br
Method: DFT, PBE
State: optimized geometry

Geometry as POSCAR:
```
MgMnNi2Br
1.0
4.518 0.000 0.000
0.000 4.518 0.000
0.000 0.000 4.738
Mg Mn Ni Br
1 1 2 1
direct
0.000 0.000 0.000 Mg
0.500 0.500 0.500 Mn
0.000 0.500 0.500 Ni
0.500 0.000 0.500 Ni
0.500 0.500 0.000 Br
```

Output
Symmetry   P4/mmm, No. 123

=====

(2)
Material: MgMnPbBr6
Method: DFT, PBE
State: optimized geometry

Geometry as POSCAR:
```
MgMnPbBr6
1.0
6.953 0.000 0.000
-3.476 6.021 0.000
0.000 0.000 13.175
Mg Mn Pb Br
2 2 2 12
direct
0.333 0.667 0.250 Mg
0.667 0.333 0.750 Mg
0.333 0.667 0.750 Mn
0.667 0.333 0.250 Mn
0.000 0.000 0.000 Pb
0.000 0.000 0.500 Pb
0.001 0.363 0.634 Br
0.001 0.638 0.866 Br
0.362 0.363 0.866 Br
0.362 0.999 0.634 Br
0.363 0.001 0.134 Br
0.363 0.362 0.366 Br
0.637 0.638 0.634 Br
0.637 0.999 0.866 Br
0.638 0.001 0.366 Br
0.638 0.637 0.134 Br
0.999 0.362 0.134 Br
0.999 0.637 0.366 Br
```

Output
Symmetry   P-31c, No. 163

=====

(3)
Material: MgMn2PdBr
Method: DFT, PBE
State: optimized geometry

Geometry as POSCAR:
```
MgMn2PdBr
1.0
5.083 0.000 0.000
0.000 5.083 0.000
0.000 0.000 4.847
Mg Mn Pd Br
1 2 1 1
direct
0.000 0.000 0.000 Mg
0.000 0.500 0.000 Mn
0.500 0.000 0.000 Mn
0.500 0.500 0.500 Pd
0.000 0.000 0.500 Br
```

Output
Symmetry   P4/mmm, No. 123

=====

(4)
Material: RbMgMnBr5
Method: DFT, PBE
State: optimized geometry

Geometry as POSCAR:
```
RbMgMnBr5
1.0
4.698 -6.269 0.000
4.698 6.269 0.000
-3.746 0.000 9.187
Rb Mg Mn Br
2 2 2 10
direct
0.158 0.842 0.750 Rb
0.842 0.158 0.250 Rb
0.500 0.500 0.000 Mg
0.500 0.500 0.500 Mg
0.188 0.812 0.250 Mn
0.812 0.188 0.750 Mn
0.124 0.264 0.934 Br
0.194 0.592 0.399 Br
0.264 0.124 0.434 Br
0.408 0.806 0.101 Br
0.433 0.567 0.750 Br
0.567 0.433 0.250 Br
0.592 0.194 0.899 Br
0.736 0.876 0.566 Br
0.806 0.408 0.601 Br
0.876 0.736 0.066 Br
```

Output
Symmetry   C2/c, No. 15

=====

(5)
Material: MgMnRhBr2
Method: DFT, PBE
State: optimized geometry

Geometry as POSCAR:
```
MgMnRhBr2
1.0
5.117 0.000 0.000
0.000 5.117 0.000
0.000 0.000 5.020
Mg Mn Rh Br
1 1 1 2
direct
0.000 0.000 0.000 Mg
0.500 0.500 0.000 Mn
0.000 0.000 0.500 Rh
0.000 0.500 0.500 Br
0.500 0.000 0.500 Br
```

Output
Symmetry   P4/mmm, No. 123

=====

(6)
Material: MgMnSi2Br
Method: DFT, PBE
State: optimized geometry

Geometry as POSCAR:
```
MgMnSi2Br
1.0
5.121 0.000 0.000
0.000 5.121 0.000
0.000 0.000 4.641
Mg Mn Si Br
1 1 2 1
direct
0.000 0.000 0.000 Mg
0.500 0.500 0.000 Mn
0.000 0.500 0.500 Si
0.500 0.000 0.500 Si
0.500 0.500 0.500 Br
```

Output
Symmetry   P4/mmm, No. 123

=====

(7)
Material: MgTa2MnBr
Method: DFT, PBE
State: optimized geometry

Geometry as POSCAR:
```
MgTa2MnBr
1.0
4.739 0.000 0.000
0.000 4.739 0.000
0.000 0.000 4.837
Mg Ta Mn Br
1 2 1 1
direct
0.000 0.000 0.000 Mg
0.000 0.500 0.500 Ta
0.500 0.000 0.500 Ta
0.500 0.500 0.000 Mn
0.000 0.000 0.500 Br
```

Output
Symmetry   P4/mmm, No. 123

=====

(8)
Material: Y2MgMnBr
Method: DFT, PBE
State: optimized geometry

Geometry as POSCAR:
```
Y2MgMnBr
1.0
5.079 0.000 0.000
0.000 5.079 0.000
0.000 0.000 5.162
Y Mg Mn Br
2 1 1 1
direct
0.000 0.500 0.000 Y
0.500 0.000 0.000 Y
0.000 0.000 0.500 Mg
0.000 0.000 0.000 Mn
0.500 0.500 0.500 Br
```

Output
Symmetry   P4/mmm, No. 123

=====

(9)
Material: Mg2MoBr
Method: DFT, PBE
State: optimized geometry

Geometry as POSCAR:
```
Mg2MoBr
1.0
1.913 -2.454 0.000
1.913 2.454 0.000
0.000 0.000 8.472
Mg Mo Br
2 1 1
direct
0.000 0.000 0.239 Mg
0.000 0.000 0.761 Mg
0.500 0.500 0.000 Mo
0.500 0.500 0.500 Br
```

Output
Symmetry   Cmmm, No. 65
Relative energy among the computed polymorphs   3.05 kJ/mol of atoms

=====

(10)
Material: Mg2MoBr
Method: DFT, PBE
State: optimized geometry

Geometry as POSCAR:
```
Mg2MoBr
1.0
-2.059 2.059 4.904
2.059 -2.059 4.904
2.059 2.059 -4.904
Mg Mo Br
2 1 1
direct
0.000 0.000 0.000 Mg
0.750 0.250 0.500 Mg
0.250 0.750 0.500 Mo
0.500 0.500 0.000 Br
```

Output
Symmetry   I-4m2, No. 119
Relative energy among the computed polymorphs   48.75 kJ/mol of atoms

=====

(11)
Material: Mg2MoBr
Method: DFT, PBE
State: optimized geometry

Geometry as POSCAR:
```
Mg2MoBr
1.0
5.412 -1.538 0.000
5.412 1.538 0.000
-1.493 0.000 5.015
Mg Mo Br
2 1 1
direct
0.000 0.000 0.000 Mg
0.202 0.202 0.637 Mg
0.463 0.463 0.514 Mo
0.790 0.790 0.210 Br
```

Output
Symmetry   Cm, No. 8
Relative energy among the computed polymorphs   18.78 kJ/mol of atoms

=====

(12)
Material: Mg2MoBr
Method: DFT, PBE
State: optimized geometry

Geometry as POSCAR:
```
Mg2MoBr
1.0
1.621 -2.730 0.000
1.621 2.730 0.000
0.000 0.000 9.546
Mg Mo Br
2 1 1
direct
0.000 0.000 0.000 Mg
0.500 0.500 0.275 Mg
0.000 0.000 0.512 Mo
0.500 0.500 0.726 Br
```

Output
Symmetry   Cmm2, No. 35
Relative energy among the computed polymorphs   32.39 kJ/mol of atoms

=====

The uncorrected energy results, record by record, are as follows: -4.1466, -3.7547, -4.2353, -3.7841, -3.8985, -3.5238, -5.8074, -4.9933, -3.8555, -3.3819, -3.6925, -3.5515 eV per atom.
The formation energy (no corrections) results, record by record, are as follows: 315, -896, 543, -982, 190, 546, 686, 38, 26, 209, 89, 144 kJ/mol of formula units.